1.
Zr2MoSe | PBE | optimized geometry

a b c (Å): 3.657 4.957 8.530
angles (deg): 90.00 90.00 90.00
Space group Immm (No. 71)
Symmetry-distinct sites (fractional):
Zr 0.000 0.000 0.246 x4
Mo 0.000 0.500 0.500 x2
Se 0.000 0.500 0.000 x2

=====

2.
Zr2MoSe | PBE | optimized geometry

a b c (Å): 3.323 3.323 7.139
angles (deg): 90.00 90.00 90.00
Space group P4mm (No. 99)
Symmetry-distinct sites (fractional):
Zr 0.000 0.000 0.000 x1
Zr 0.500 0.500 0.296 x1
Mo 0.000 0.000 0.545 x1
Se 0.500 0.500 0.717 x1

=====

Across the entries above, formation energy from raw total energies takes the values -0.17; -0.17 eV/atom, respectively.